! Ta5Mo4Au, relaxed, DFT PBE-GGA; values from VASP
&SYSTEM
  ibrav = 0, nat = 10, ntyp = 3
/
ATOMIC_SPECIES
Ta 180.95 Ta.upf
Mo 95.94 Mo.upf
Au 196.97 Au.upf
ATOMIC_POSITIONS angstrom
Ta 1.631 1.631 1.756
Ta 1.631 1.631 4.862
Ta 1.631 1.631 8.067
Ta 1.631 1.631 11.272
Ta 1.631 1.631 14.378
Mo 0.000 0.000 3.230
Mo 0.000 0.000 6.465
Mo 0.000 0.000 9.669
Mo 0.000 0.000 12.904
Au 0.000 0.000 0.000
CELL_PARAMETERS angstrom
3.262 0.000 0.000
0.000 3.262 0.000
0.000 0.000 16.134
! V   172 Å³/cell
! Space group   P4/mmm (123)
! Theoretical density   14.4 g cm⁻³
! Energy of formation from the pure elements   -0.14 eV/atom